An optimized crystal structure of Cu2SiPb, computed with PBE-GGA.

Structure (POSCAR):
```
Cu2SiPb
1.0
1.609 0.929 7.938
-1.609 0.929 7.938
0.000 -1.858 7.938
Cu Si Pb
2 1 1
Direct
0.234 0.234 0.234 Cu
0.766 0.766 0.766 Cu
0.500 0.500 0.500 Si
0.000 0.000 0.000 Pb
```

Symmetry: R-3m (166)
DOS(E_F) in states/eV/f.u.: 2.6
Formation energy from raw total energies in meV per atom: 299

***

An optimized crystal structure of Cu2SiPb, computed with PBE-GGA.

Structure (POSCAR):
```
Cu2SiPb
1.0
3.188 0.000 0.000
0.000 3.820 0.000
0.000 0.000 6.020
Cu Si Pb
2 1 1
Direct
0.000 0.000 0.000 Cu
0.000 0.500 0.287 Cu
0.500 0.000 0.298 Si
0.500 0.500 0.730 Pb
```

Symmetry: Pmm2 (25)
DOS(E_F) in states/eV/f.u.: 1.2
Formation energy from raw total energies in meV per atom: 220

***

An optimized crystal structure of CuSiPb2, computed with PBE-GGA.

Structure (POSCAR):
```
CuSiPb2
1.0
2.219 -2.489 0.000
2.219 2.489 0.000
0.000 0.000 8.298
Cu Si Pb
1 1 2
Direct
0.000 0.000 0.000 Cu
0.500 0.500 0.117 Si
0.000 0.000 0.394 Pb
0.500 0.500 0.740 Pb
```

Symmetry: Cmm2 (35)
DOS(E_F) in states/eV/f.u.: 1.6
Formation energy from raw total energies in meV per atom: 257

***

An optimized crystal structure of CuSi2Pb, computed with PBE-GGA.

Structure (POSCAR):
```
CuSi2Pb
1.0
3.320 0.000 0.000
0.000 3.320 0.000
0.000 0.000 6.870
Cu Si Pb
1 2 1
Direct
0.000 0.000 0.000 Cu
0.500 0.500 0.175 Si
0.500 0.500 0.825 Si
0.000 0.000 0.500 Pb
```

Symmetry: P4/mmm (123)
DOS(E_F) in states/eV/f.u.: 1.9
Formation energy from raw total energies in meV per atom: 391

***

An optimized crystal structure of CuSiPb2, computed with PBE-GGA.

Structure (POSCAR):
```
CuSiPb2
1.0
2.063 1.191 6.559
-2.063 1.191 6.559
0.000 -2.382 6.559
Cu Si Pb
1 1 2
Direct
0.000 0.000 0.000 Cu
0.664 0.664 0.664 Si
0.233 0.233 0.233 Pb
0.430 0.430 0.430 Pb
```

Symmetry: R3m (160)
DOS(E_F) in states/eV/f.u.: 1.5
Formation energy from raw total energies in meV per atom: 158

***

An optimized crystal structure of CuSi2Pb, computed with PBE-GGA.

Structure (POSCAR):
```
CuSi2Pb
1.0
3.241 0.000 0.000
0.000 3.241 0.000
0.000 0.000 7.135
Cu Si Pb
1 2 1
Direct
0.000 0.000 0.000 Cu
0.000 0.000 0.652 Si
0.500 0.500 0.827 Si
0.500 0.500 0.282 Pb
```

Symmetry: P4mm (99)
DOS(E_F) in states/eV/f.u.: 0.8
Formation energy from raw total energies in meV per atom: 331

***

An optimized crystal structure of CuSi2Pb, computed with PBE-GGA.

Structure (POSCAR):
```
CuSi2Pb
1.0
3.788 -1.828 0.000
3.788 1.828 0.000
-1.427 0.000 5.722
Cu Si Pb
1 2 1
Direct
0.000 0.000 0.000 Cu
0.275 0.275 0.865 Si
0.725 0.725 0.135 Si
0.500 0.500 0.500 Pb
```

Symmetry: C2/m (12)
DOS(E_F) in states/eV/f.u.: 1.4
Formation energy from raw total energies in meV per atom: 240

***

An optimized crystal structure of Cu2Si2Pb, computed with PBE-GGA.

Structure (POSCAR):
```
Cu2Si2Pb
1.0
7.647 0.000 0.000
0.000 7.647 0.000
0.000 0.000 2.922
Cu Si Pb
4 4 2
Direct
0.137 0.363 0.000 Cu
0.363 0.863 0.000 Cu
0.637 0.137 0.000 Cu
0.863 0.637 0.000 Cu
0.140 0.640 0.500 Si
0.360 0.140 0.500 Si
0.640 0.860 0.500 Si
0.860 0.360 0.500 Si
0.000 0.000 0.000 Pb
0.500 0.500 0.000 Pb
```

Symmetry: P4/mbm (127)
DOS(E_F) in states/eV/f.u.: 2.2
Formation energy from raw total energies in meV per atom: 356

***

An optimized crystal structure of CuSi2Pb, computed with PBE-GGA.

Structure (POSCAR):
```
CuSi2Pb
1.0
4.047 0.000 0.000
0.000 4.067 0.000
-0.796 0.000 4.950
Cu Si Pb
1 2 1
Direct
0.000 0.000 0.000 Cu
0.227 0.500 0.859 Si
0.773 0.500 0.141 Si
0.500 0.000 0.500 Pb
```

Symmetry: P2/m (10)
DOS(E_F) in states/eV/f.u.: 1.4
Formation energy from raw total energies in meV per atom: 279

***

An optimized crystal structure of CuSi2Pb, computed with PBE-GGA.

Structure (POSCAR):
```
CuSi2Pb
1.0
1.945 1.123 6.038
-1.945 1.123 6.038
0.000 -2.246 6.038
Cu Si Pb
1 2 1
Direct
0.000 0.000 0.000 Cu
0.288 0.288 0.288 Si
0.712 0.712 0.712 Si
0.500 0.500 0.500 Pb
```

Symmetry: R-3m (166)
DOS(E_F) in states/eV/f.u.: 1.7
Formation energy from raw total energies in meV per atom: 248

***

An optimized crystal structure of Cu2SiPb, computed with PBE-GGA.

Structure (POSCAR):
```
Cu2SiPb
1.0
0.000 3.273 3.273
3.273 0.000 3.273
3.273 3.273 0.000
Cu Si Pb
2 1 1
Direct
0.250 0.250 0.250 Cu
0.750 0.750 0.750 Cu
0.000 0.000 0.000 Si
0.500 0.500 0.500 Pb
```

Symmetry: Fm-3m (225)
DOS(E_F) in states/eV/f.u.: 0.9
Formation energy from raw total energies in meV per atom: 441

***

An optimized crystal structure of CuSiPb2, computed with PBE-GGA.

Structure (POSCAR):
```
CuSiPb2
1.0
-2.137 2.137 5.085
2.137 -2.137 5.085
2.137 2.137 -5.085
Cu Si Pb
1 1 2
Direct
0.000 0.000 0.000 Cu
0.750 0.250 0.500 Si
0.250 0.750 0.500 Pb
0.500 0.500 0.000 Pb
```

Symmetry: I-4m2 (119)
DOS(E_F) in states/eV/f.u.: 2.0
Formation energy from raw total energies in meV per atom: 488

***

An optimized crystal structure of CuSiPb2, computed with PBE-GGA.

Structure (POSCAR):
```
CuSiPb2
1.0
-3.125 3.125 6.160
3.125 -3.125 6.160
3.125 3.125 -6.160
Cu Si Pb
2 2 4
Direct
0.000 0.000 0.000 Cu
0.750 0.250 0.500 Cu
0.250 0.750 0.500 Si
0.500 0.500 0.000 Si
0.116 0.625 0.991 Pb
0.375 0.366 0.491 Pb
0.634 0.125 0.009 Pb
0.875 0.884 0.509 Pb
```

Symmetry: I-42d (122)
DOS(E_F) in states/eV/f.u.: 3.0
Formation energy from raw total energies in meV per atom: 542

***

An optimized crystal structure of CuSi2Pb, computed with PBE-GGA.

Structure (POSCAR):
```
CuSi2Pb
1.0
0.000 3.347 3.347
3.347 0.000 3.347
3.347 3.347 0.000
Cu Si Pb
1 2 1
Direct
0.000 0.000 0.000 Cu
0.250 0.250 0.250 Si
0.500 0.500 0.500 Si
0.750 0.750 0.750 Pb
```

Symmetry: F-43m (216)
DOS(E_F) in states/eV/f.u.: 1.9
Formation energy from raw total energies in meV per atom: 612

***

An optimized crystal structure of Cu2SiPb, computed with PBE-GGA.

Structure (POSCAR):
```
Cu2SiPb
1.0
2.022 1.168 5.485
-2.022 1.168 5.485
0.000 -2.335 5.485
Cu Si Pb
2 1 1
Direct
0.000 0.000 0.000 Cu
0.275 0.275 0.275 Cu
0.627 0.627 0.627 Si
0.811 0.811 0.811 Pb
```

Symmetry: R3m (160)
DOS(E_F) in states/eV/f.u.: 0.9
Formation energy from raw total energies in meV per atom: 129

***

An optimized crystal structure of Cu2SiPb2, computed with PBE-GGA.

Structure (POSCAR):
```
Cu2SiPb2
1.0
6.530 0.000 0.000
0.000 6.530 0.000
0.000 0.000 4.810
Cu Si Pb
4 2 4
Direct
0.143 0.357 0.000 Cu
0.357 0.857 0.000 Cu
0.643 0.143 0.000 Cu
0.857 0.643 0.000 Cu
0.000 0.000 0.000 Si
0.500 0.500 0.000 Si
0.178 0.678 0.500 Pb
0.322 0.178 0.500 Pb
0.678 0.822 0.500 Pb
0.822 0.322 0.500 Pb
```

Symmetry: P4/mbm (127)
DOS(E_F) in states/eV/f.u.: 2.8
Formation energy from raw total energies in meV per atom: 291

***

An optimized crystal structure of CuSiPb2, computed with PBE-GGA.

Structure (POSCAR):
```
CuSiPb2
1.0
4.328 0.000 0.000
0.000 4.102 0.000
-2.028 0.000 5.267
Cu Si Pb
1 1 2
Direct
0.000 0.000 0.000 Cu
0.091 0.500 0.225 Si
0.390 0.500 0.815 Pb
0.692 0.000 0.413 Pb
```

Symmetry: Pm (6)
DOS(E_F) in states/eV/f.u.: 1.5
Formation energy from raw total energies in meV per atom: 220

***

An optimized crystal structure of CuSiPb2, computed with PBE-GGA.

Structure (POSCAR):
```
CuSiPb2
1.0
3.218 0.000 0.000
0.000 3.474 0.000
0.000 0.000 8.185
Cu Si Pb
1 1 2
Direct
0.000 0.000 0.000 Cu
0.500 0.500 0.889 Si
0.000 0.000 0.621 Pb
0.500 0.500 0.262 Pb
```

Symmetry: Pmm2 (25)
DOS(E_F) in states/eV/f.u.: 1.3
Formation energy from raw total energies in meV per atom: 247

***

An optimized crystal structure of Cu2SiPb, computed with PBE-GGA.

Structure (POSCAR):
```
Cu2SiPb
1.0
3.515 -2.030 0.000
3.515 2.030 0.000
-2.367 0.000 5.277
Cu Si Pb
2 1 1
Direct
0.197 0.197 0.090 Cu
0.803 0.803 0.910 Cu
0.500 0.500 0.000 Si
0.000 0.000 0.500 Pb
```

Symmetry: C2/m (12)
DOS(E_F) in states/eV/f.u.: 1.4
Formation energy from raw total energies in meV per atom: 95

***

An optimized crystal structure of Cu2Si2Pb, computed with PBE-GGA.

Structure (POSCAR):
```
Cu2Si2Pb
1.0
-1.912 1.912 5.777
1.912 -1.912 5.777
1.912 1.912 -5.777
Cu Si Pb
2 2 1
Direct
0.115 0.115 0.000 Cu
0.885 0.885 0.000 Cu
0.250 0.750 0.500 Si
0.750 0.250 0.500 Si
0.500 0.500 0.000 Pb
```

Symmetry: I4/mmm (139)
DOS(E_F) in states/eV/f.u.: 2.3
Formation energy from raw total energies in meV per atom: 172

***

An optimized crystal structure of CuSiPbW2, computed with PBE-GGA.

Structure (POSCAR):
```
CuSiPbW2
1.0
4.572 0.000 0.000
0.000 4.572 0.000
0.000 0.000 5.251
Cu Si Pb W
1 1 1 2
Direct
0.000 0.000 0.000 Cu
0.500 0.500 0.500 Si
0.500 0.500 0.000 Pb
0.000 0.500 0.500 W
0.500 0.000 0.500 W
```

Symmetry: P4/mmm (123)
DOS(E_F) in states/eV/f.u.: 5.1
Formation energy from raw total energies in meV per atom: 1656

***

An optimized crystal structure of SmCuPb2, computed with PBE-GGA.

Structure (POSCAR):
```
SmCuPb2
1.0
1.763 1.018 10.457
-1.763 1.018 10.457
0.000 -2.035 10.457
Sm Cu Pb
1 1 2
Direct
0.000 0.000 0.000 Sm
0.500 0.500 0.500 Cu
0.103 0.103 0.103 Pb
0.897 0.897 0.897 Pb
```

Symmetry: R-3m (166)
DOS(E_F) in states/eV/f.u.: 3.1
ΔH_f (0 K) in eV per atom: 0.203

***

An optimized crystal structure of Sm5Cu2Pb, computed with PBE-GGA.

Structure (POSCAR):
```
Sm5Cu2Pb
1.0
-4.063 4.063 6.633
4.063 -4.063 6.633
4.063 4.063 -6.633
Sm Cu Pb
10 4 2
Direct
0.000 0.000 0.000 Sm
0.012 0.512 0.808 Sm
0.204 0.012 0.500 Sm
0.296 0.796 0.808 Sm
0.488 0.296 0.500 Sm
0.500 0.500 0.000 Sm
0.512 0.704 0.500 Sm
0.704 0.204 0.192 Sm
0.796 0.988 0.500 Sm
0.988 0.488 0.192 Sm
0.130 0.370 0.500 Cu
0.370 0.870 0.241 Cu
0.630 0.130 0.759 Cu
0.870 0.630 0.500 Cu
0.250 0.250 0.000 Pb
0.750 0.750 0.000 Pb
```

Symmetry: I4/mcm (140)
DOS(E_F) in states/eV/f.u.: 9.9
ΔH_f (0 K) in eV per atom: -0.248

***

An optimized crystal structure of Sm5CuPb3, computed with PBE-GGA.

Structure (POSCAR):
```
Sm5CuPb3
1.0
9.445 0.000 0.000
-4.722 8.180 0.000
0.000 0.000 6.777
Sm Cu Pb
10 2 6
Direct
0.000 0.257 0.250 Sm
0.000 0.743 0.750 Sm
0.257 0.000 0.250 Sm
0.257 0.257 0.750 Sm
0.333 0.667 0.000 Sm
0.333 0.667 0.500 Sm
0.667 0.333 0.000 Sm
0.667 0.333 0.500 Sm
0.743 0.000 0.750 Sm
0.743 0.743 0.250 Sm
0.000 0.000 0.000 Cu
0.000 0.000 0.500 Cu
0.000 0.386 0.750 Pb
0.000 0.614 0.250 Pb
0.386 0.000 0.750 Pb
0.386 0.386 0.250 Pb
0.614 0.000 0.250 Pb
0.614 0.614 0.750 Pb
```

Symmetry: P6_3/mcm (193)
DOS(E_F) in states/eV/f.u.: 7.7
ΔH_f (0 K) in eV per atom: -0.502

***

An optimized crystal structure of SmCuPb2, computed with PBE-GGA.

Structure (POSCAR):
```
SmCuPb2
1.0
4.719 0.000 0.000
0.000 4.719 0.000
0.000 0.000 4.533
Sm Cu Pb
1 1 2
Direct
0.000 0.000 0.000 Sm
0.500 0.500 0.000 Cu
0.000 0.500 0.500 Pb
0.500 0.000 0.500 Pb
```

Symmetry: P4/mmm (123)
DOS(E_F) in states/eV/f.u.: 2.1
ΔH_f (0 K) in eV per atom: -0.192

***

An optimized crystal structure of SrSmCuPb, computed with PBE-GGA.

Structure (POSCAR):
```
SrSmCuPb
1.0
0.000 3.855 3.855
3.855 0.000 3.855
3.855 3.855 0.000
Sr Sm Cu Pb
1 1 1 1
Direct
0.000 0.000 0.000 Sr
0.500 0.500 0.500 Sm
0.250 0.250 0.250 Cu
0.750 0.750 0.750 Pb
```

Symmetry: F-43m (216)
DOS(E_F) in states/eV/f.u.: 1.6
ΔH_f (0 K) in eV per atom: -0.267

***

An optimized crystal structure of TbSmCuPb, computed with PBE-GGA.

Structure (POSCAR):
```
TbSmCuPb
1.0
0.000 3.723 3.723
3.723 0.000 3.723
3.723 3.723 0.000
Tb Sm Cu Pb
1 1 1 1
Direct
0.000 0.000 0.000 Tb
0.500 0.500 0.500 Sm
0.250 0.250 0.250 Cu
0.750 0.750 0.750 Pb
```

Symmetry: F-43m (216)
DOS(E_F) in states/eV/f.u.: 4.3
ΔH_f (0 K) in eV per atom: -0.304

***

An optimized crystal structure of SmTmCuPb, computed with PBE-GGA.

Structure (POSCAR):
```
SmTmCuPb
1.0
0.000 3.694 3.694
3.694 0.000 3.694
3.694 3.694 0.000
Sm Tm Cu Pb
1 1 1 1
Direct
0.000 0.000 0.000 Sm
0.500 0.500 0.500 Tm
0.750 0.750 0.750 Cu
0.250 0.250 0.250 Pb
```

Symmetry: F-43m (216)
DOS(E_F) in states/eV/f.u.: 4.2
ΔH_f (0 K) in eV per atom: -0.283

***

| no. | raw total energy (eV per atom) |
| --- | --- |
| 1 | -4.032 |
| 2 | -4.111 |
| 3 | -3.977 |
| 4 | -4.272 |
| 5 | -4.076 |
| 6 | -4.331 |
| 7 | -4.423 |
| 8 | -4.193 |
| 9 | -4.384 |
| 10 | -4.415 |
| 11 | -3.889 |
| 12 | -3.746 |
| 13 | -3.692 |
| 14 | -4.050 |
| 15 | -4.202 |
| 16 | -3.916 |
| 17 | -4.014 |
| 18 | -3.987 |
| 19 | -4.236 |
| 20 | -4.377 |
| 21 | -6.171 |
| 22 | -3.855 |
| 23 | -4.685 |
| 24 | -4.815 |
| 25 | -4.250 |
| 26 | -3.818 |
| 27 | -4.592 |
| 28 | -4.531 |